Material: SrLaMg2
Method: DFT, GGA-PBEsol
State: relaxed

It has space group I-4m2 (No. 119), with a = 5.0219 Å, b = 5.0219 Å, c = 10.0865 Å, α = 90.00°, β = 90.00° and γ = 90.00°. Symmetry generates all atoms from Sr at (0.0000, 0.0000, 0.0000), La at (0.0000, 0.5000, 0.2500), Mg at (0.0000, 0.0000, 0.5000) and Mg at (0.0000, 0.5000, 0.7500).

The crystal system is tetragonal. The calculation puts the energy of formation at 8.9 kJ per mole of atoms. Its total DFT energy (no corrections) is -20.51 eV per cell. The total magnetization is 0.00 μB per cell.

Material: Li2CaAs
Method: DFT, GGA-PBEsol
State: relaxed

It has space group Amm2 (No. 38), with a = 4.1088 Å, b = 4.0606 Å, c = 10.6888 Å, α = 90.00°, β = 90.00° and γ = 90.00°. Symmetry generates all atoms from Li at (0.0000, 0.0000, 0.0000), Li at (0.5000, 0.0000, 0.4570), Ca at (0.5000, 0.0000, 0.7513) and As at (0.0000, 0.0000, 0.3301).

The crystal system is orthorhombic. The calculation puts the energy of formation at -56.3 kJ per mole of atoms. Its total DFT energy (no corrections) is -27.01 eV per cell. The total magnetization is 0.94 μB per cell.

Material: K2LaW
Method: DFT, GGA-PBEsol
State: relaxed

It has space group Pmmm (No. 47), with a = 2.9484 Å, b = 5.9997 Å, c = 6.5142 Å, α = 90.00°, β = 90.00° and γ = 90.00°. Symmetry generates all atoms from K at (0.0000, 0.2352, 0.0000), La at (0.5000, 0.5000, 0.5000) and W at (0.5000, 0.0000, 0.5000).

The crystal system is orthorhombic. The calculation puts the energy of formation at 138.6 kJ per mole of atoms. The energy above the most stable polymorph in this dataset is 0.54 eV per formula unit. Its total DFT energy (no corrections) is -15.67 eV per cell. The total magnetization is 0.01 μB per cell.

Material: AlCr2Cl
Method: DFT, GGA-PBEsol
State: relaxed

It has space group I4/mmm (No. 139), with a = 4.2649 Å, b = 4.2649 Å, c = 7.0755 Å, α = 90.00°, β = 90.00° and γ = 90.00°. Symmetry generates all atoms from Al at (0.0000, 0.0000, 0.0000), Cr at (0.0000, 0.5000, 0.2500) and Cl at (0.0000, 0.0000, 0.5000).

The crystal system is tetragonal. The energy above the most stable polymorph in this dataset is 2.61 eV per formula unit. Its total DFT energy (no corrections) is -47.43 eV per cell. The total magnetization is 14.96 μB per cell.

Material: Cd3P2
Method: DFT, GGA-PBEsol
State: relaxed

It has space group P4_2/nmc (No. 137, origin choice 2), with a = 8.6978 Å, b = 8.6978 Å, c = 12.2108 Å, α = 90.00°, β = 90.00° and γ = 90.00°. Symmetry generates all atoms from Cd at (0.0067, 0.7500, 0.1021), Cd at (0.0324, 0.7500, 0.6478), Cd at (0.0356, 0.2500, 0.6311), P at (0.0071, 0.5071, 0.2500), P at (0.2500, 0.2500, 0.4911) and P at (0.2500, 0.7500, 0.5075).

The crystal system is tetragonal. The calculation puts the energy of formation at -1.6 kJ per mole of atoms. The energy above the most stable polymorph in this dataset is 0.00 eV per formula unit. Its total DFT energy (no corrections) is -122.06 eV per cell. The total magnetization is 0.00 μB per cell.

Material: ScAg2
Method: DFT, GGA-PBEsol
State: relaxed

It has space group I4/mmm (No. 139), with a = 3.4950 Å, b = 3.4950 Å, c = 8.8076 Å, α = 90.00°, β = 90.00° and γ = 90.00°. Symmetry generates all atoms from Sc at (0.0000, 0.0000, 0.0000) and Ag at (0.0000, 0.0000, 0.3331).

The crystal system is tetragonal. The calculation puts the energy of formation at -32.0 kJ per mole of atoms. The energy above the most stable polymorph in this dataset is 0.00 eV per formula unit. Its total DFT energy (no corrections) is -28.45 eV per cell. The total magnetization is 0.00 μB per cell.

Material: Ca2MgAgN
Method: DFT, GGA-PBEsol
State: relaxed

It has space group P4/mmm (No. 123), with a = 4.8286 Å, b = 4.8286 Å, c = 4.4752 Å, α = 90.00°, β = 90.00° and γ = 90.00°. Symmetry generates all atoms from Ca at (0.0000, 0.5000, 0.0000), Mg at (0.0000, 0.0000, 0.5000), Ag at (0.5000, 0.5000, 0.5000) and N at (0.5000, 0.5000, 0.0000).

The crystal system is tetragonal. Its total DFT energy (no corrections) is -19.02 eV per cell. The total magnetization is 0.00 μB per cell.

Material: HfScGeCl2
Method: DFT, GGA-PBEsol
State: relaxed

It has space group P4/mmm (No. 123), with a = 4.7139 Å, b = 4.7139 Å, c = 5.4616 Å, α = 90.00°, β = 90.00° and γ = 90.00°. Symmetry generates all atoms from Hf at (0.0000, 0.0000, 0.0000), Sc at (0.5000, 0.5000, 0.5000), Ge at (0.0000, 0.0000, 0.5000) and Cl at (0.0000, 0.5000, 0.0000).

The crystal system is tetragonal. Its total DFT energy (no corrections) is -28.35 eV per cell. The total magnetization is 0.57 μB per cell.